First-principles (PBE) data for PmTaTi2 after structural relaxation, as listed in the Alexandria database.

The structure in CIF format:
```
data_PmTaTi2
_chemical_formula_sum 'Pm1 Ta1 Ti2'
_space_group_name_H-M_alt 'P 1'
_space_group_IT_number 1
_space_group_name_Hall 'P 1'
_cell_length_a 3.470
_cell_length_b 3.470
_cell_length_c 7.031
_cell_angle_alpha 90.00
_cell_angle_beta 90.00
_cell_angle_gamma 90.00
loop_
_atom_site_label
_atom_site_fract_x
_atom_site_fract_y
_atom_site_fract_z
Pm1 0.000 0.000 0.000
Ta1 0.000 0.000 0.500
Ti1 0.500 0.500 0.304
Ti2 0.500 0.500 0.696
```

Values from the calculation:
The calculated volume is 84.7 Å³/cell. For the total energy, the calculation gives -7.93 eV per atom. The value obtained for the energy relative to the elements is 0.16 eV/atom.

=====

First-principles (PBE) data for LiTh2Zr after structural relaxation, as listed in the Alexandria database.

The structure in CIF format:
```
data_LiTh2Zr
_chemical_formula_sum 'Li1 Th2 Zr1'
_space_group_name_H-M_alt 'P 1'
_space_group_IT_number 1
_space_group_name_Hall 'P 1'
_cell_length_a 3.389
_cell_length_b 3.389
_cell_length_c 9.568
_cell_angle_alpha 90.00
_cell_angle_beta 90.00
_cell_angle_gamma 90.00
loop_
_atom_site_label
_atom_site_fract_x
_atom_site_fract_y
_atom_site_fract_z
Li1 0.000 0.000 0.000
Th1 0.500 0.500 0.251
Th2 0.500 0.500 0.749
Zr1 0.000 0.000 0.500
```

Values from the calculation:
The calculated volume is 109.9 Å³/cell. For the energy above the most stable polymorph in this dataset, the calculation gives 0.000 eV per formula unit. For the total energy, the calculation gives -6.16 eV per atom. The value obtained for the energy relative to the elements is 0.16 eV/atom.

=====

First-principles (PBE) data for Ga2H2Br7 after structural relaxation, as listed in the Alexandria database.

The structure in CIF format:
```
data_Ga2H2Br7
_chemical_formula_sum 'Ga2 H2 Br7'
_space_group_name_H-M_alt 'P 1'
_space_group_IT_number 1
_space_group_name_Hall 'P 1'
_cell_length_a 7.897
_cell_length_b 7.897
_cell_length_c 6.843
_cell_angle_alpha 92.63
_cell_angle_beta 92.63
_cell_angle_gamma 98.61
loop_
_atom_site_label
_atom_site_fract_x
_atom_site_fract_y
_atom_site_fract_z
Ga1 0.244 0.244 0.018
Ga2 0.756 0.756 0.982
H1 0.186 0.814 0.500
H2 0.814 0.186 0.500
Br1 0.000 0.000 0.000
Br2 0.141 0.455 0.834
Br3 0.314 0.314 0.344
Br4 0.455 0.141 0.834
Br5 0.545 0.859 0.166
Br6 0.686 0.686 0.656
Br7 0.859 0.545 0.166
```

Values from the calculation:
The calculated volume is 420.9 Å³/cell. For the total energy, the calculation gives -2.31 eV per atom.

=====

First-principles (PBE) data for LiSiRh4 after structural relaxation, as listed in the Alexandria database.

The structure in CIF format:
```
data_LiSiRh4
_chemical_formula_sum 'Li1 Si1 Rh4'
_space_group_name_H-M_alt 'P 1'
_space_group_IT_number 1
_space_group_name_Hall 'P 1'
_cell_length_a 5.084
_cell_length_b 5.084
_cell_length_c 5.084
_cell_angle_alpha 60.00
_cell_angle_beta 60.00
_cell_angle_gamma 60.00
loop_
_atom_site_label
_atom_site_fract_x
_atom_site_fract_y
_atom_site_fract_z
Li1 0.000 0.000 0.000
Si1 0.250 0.250 0.250
Rh1 0.126 0.625 0.625
Rh2 0.625 0.126 0.625
Rh3 0.625 0.625 0.126
Rh4 0.625 0.625 0.625
```

Values from the calculation:
The calculated volume is 92.9 Å³/cell. For the raw formation energy, the calculation gives 0.19 eV per atom. For the total energy, the calculation gives -5.93 eV per atom.

=====

First-principles (PBE) data for SbOs2Br after structural relaxation, as listed in the Alexandria database.

The structure in CIF format:
```
data_SbOs2Br
_chemical_formula_sum 'Sb1 Os2 Br1'
_space_group_name_H-M_alt 'P 1'
_space_group_IT_number 1
_space_group_name_Hall 'P 1'
_cell_length_a 2.934
_cell_length_b 3.639
_cell_length_c 8.360
_cell_angle_alpha 90.00
_cell_angle_beta 99.98
_cell_angle_gamma 90.00
loop_
_atom_site_label
_atom_site_fract_x
_atom_site_fract_y
_atom_site_fract_z
Sb1 0.000 0.000 0.000
Os1 0.397 0.500 0.794
Os2 0.826 0.000 0.650
Br1 0.711 0.500 0.416
```

Values from the calculation:
The calculated volume is 87.9 Å³/cell. For the raw formation energy, the calculation gives 0.43 eV per atom. For the energy above the most stable polymorph in this dataset, the calculation gives 0.000 eV per formula unit. For the total energy, the calculation gives -6.64 eV per atom.

=====

First-principles (PBE) data for TcBi2S after structural relaxation, as listed in the Alexandria database.

The structure in CIF format:
```
data_TcBi2S
_chemical_formula_sum 'Tc2 Bi4 S2'
_space_group_name_H-M_alt 'P 1'
_space_group_IT_number 1
_space_group_name_Hall 'P 1'
_cell_length_a 7.683
_cell_length_b 7.683
_cell_length_c 7.683
_cell_angle_alpha 131.25
_cell_angle_beta 131.25
_cell_angle_gamma 71.41
loop_
_atom_site_label
_atom_site_fract_x
_atom_site_fract_y
_atom_site_fract_z
Tc1 0.000 0.000 0.000
Tc2 0.750 0.250 0.500
Bi1 0.097 0.625 0.972
Bi2 0.375 0.347 0.472
Bi3 0.653 0.125 0.028
Bi4 0.875 0.903 0.528
S1 0.250 0.750 0.500
S2 0.500 0.500 0.000
```

Values from the calculation:
The calculated volume is 250.9 Å³/cell. For the raw formation energy, the calculation gives 0.64 eV per atom. For the total energy, the calculation gives -4.92 eV per atom.

=====

First-principles (PBE) data for Ce3InPt after structural relaxation, as listed in the Alexandria database.

The structure in CIF format:
```
data_Ce3InPt
_chemical_formula_sum 'Ce6 In2 Pt2'
_space_group_name_H-M_alt 'P 1'
_space_group_IT_number 1
_space_group_name_Hall 'P 1'
_cell_length_a 15.547
_cell_length_b 15.547
_cell_length_c 4.948
_cell_angle_alpha 90.00
_cell_angle_beta 90.00
_cell_angle_gamma 167.15
loop_
_atom_site_label
_atom_site_fract_x
_atom_site_fract_y
_atom_site_fract_z
Ce1 0.029 0.971 0.750
Ce2 0.122 0.878 0.750
Ce3 0.208 0.792 0.250
Ce4 0.792 0.208 0.750
Ce5 0.878 0.122 0.250
Ce6 0.971 0.029 0.250
In1 0.428 0.572 0.750
In2 0.572 0.428 0.250
Pt1 0.302 0.698 0.250
Pt2 0.698 0.302 0.750
```

Values from the calculation:
The calculated volume is 266.1 Å³/cell. For the energy above the most stable polymorph in this dataset, the calculation gives 0.080 eV per formula unit. For the total energy, the calculation gives -5.81 eV per atom. The value obtained for the energy relative to the elements is -0.50 eV/atom.

=====

First-principles (PBE) data for NbCuRe3 after structural relaxation, as listed in the Alexandria database.

The structure in CIF format:
```
data_NbCuRe3
_chemical_formula_sum 'Nb1 Cu1 Re3'
_space_group_name_H-M_alt 'P 1'
_space_group_IT_number 1
_space_group_name_Hall 'P 1'
_cell_length_a 4.431
_cell_length_b 4.431
_cell_length_c 4.431
_cell_angle_alpha 90.00
_cell_angle_beta 90.00
_cell_angle_gamma 90.00
loop_
_atom_site_label
_atom_site_fract_x
_atom_site_fract_y
_atom_site_fract_z
Nb1 0.000 0.000 0.000
Cu1 0.500 0.500 0.500
Re1 0.000 0.500 0.500
Re2 0.500 0.000 0.500
Re3 0.500 0.500 0.000
```

Values from the calculation:
The calculated volume is 87.0 Å³/cell. For the energy above the most stable polymorph in this dataset, the calculation gives 0.000 eV per formula unit. For the total energy, the calculation gives -8.64 eV per atom. The value obtained for the energy relative to the elements is 1.66 eV/atom.

=====

First-principles (PBE) data for LiCdNiGe after structural relaxation, as listed in the Alexandria database.

The structure in CIF format:
```
data_LiCdNiGe
_chemical_formula_sum 'Li1 Cd1 Ni1 Ge1'
_space_group_name_H-M_alt 'P 1'
_space_group_IT_number 1
_space_group_name_Hall 'P 1'
_cell_length_a 4.375
_cell_length_b 4.375
_cell_length_c 4.375
_cell_angle_alpha 60.00
_cell_angle_beta 60.00
_cell_angle_gamma 60.00
loop_
_atom_site_label
_atom_site_fract_x
_atom_site_fract_y
_atom_site_fract_z
Li1 0.000 0.000 0.000
Cd1 0.250 0.250 0.250
Ni1 0.500 0.500 0.500
Ge1 0.750 0.750 0.750
```

Values from the calculation:
The calculated volume is 59.2 Å³/cell. For the total energy, the calculation gives -3.49 eV per atom. The value obtained for the energy relative to the elements is -0.18 eV/atom.

=====

First-principles (PBE) data for Tl2SbMo after structural relaxation, as listed in the Alexandria database.

The structure in CIF format:
```
data_Tl2SbMo
_chemical_formula_sum 'Tl4 Sb2 Mo2'
_space_group_name_H-M_alt 'P 1'
_space_group_IT_number 1
_space_group_name_Hall 'P 1'
_cell_length_a 8.047
_cell_length_b 8.047
_cell_length_c 8.047
_cell_angle_alpha 95.96
_cell_angle_beta 95.96
_cell_angle_gamma 142.41
loop_
_atom_site_label
_atom_site_fract_x
_atom_site_fract_y
_atom_site_fract_z
Tl1 0.375 0.126 0.251
Tl2 0.874 0.125 0.249
Tl3 0.875 0.124 0.749
Tl4 0.876 0.625 0.751
Sb1 0.250 0.750 0.500
Sb2 0.500 0.500 0.000
Mo1 0.000 0.000 0.000
Mo2 0.750 0.250 0.500
```

Values from the calculation:
The calculated volume is 300.9 Å³/cell. For the raw formation energy, the calculation gives 0.50 eV per atom. For the energy above the most stable polymorph in this dataset, the calculation gives 0.778 eV per formula unit. For the total energy, the calculation gives -4.42 eV per atom.

=====

First-principles (PBE) data for DyGa2Cu9 after structural relaxation, as listed in the Alexandria database.

The structure in CIF format:
```
data_DyGa2Cu9
_chemical_formula_sum 'Dy2 Ga4 Cu18'
_space_group_name_H-M_alt 'P 1'
_space_group_IT_number 1
_space_group_name_Hall 'P 1'
_cell_length_a 7.875
_cell_length_b 7.875
_cell_length_c 7.875
_cell_angle_alpha 100.15
_cell_angle_beta 100.15
_cell_angle_gamma 130.36
loop_
_atom_site_label
_atom_site_fract_x
_atom_site_fract_y
_atom_site_fract_z
Dy1 0.375 0.625 0.750
Dy2 0.625 0.375 0.250
Ga1 0.000 0.000 0.000
Ga2 0.000 0.000 0.500
Ga3 0.000 0.500 0.000
Ga4 0.500 0.000 0.500
Cu1 0.125 0.875 0.250
Cu2 0.137 0.557 0.336
Cu3 0.137 0.801 0.580
Cu4 0.199 0.279 0.336
Cu5 0.199 0.863 0.920
Cu6 0.279 0.199 0.836
Cu7 0.279 0.443 0.080
Cu8 0.443 0.279 0.580
Cu9 0.443 0.863 0.164
Cu10 0.557 0.137 0.836
Cu11 0.557 0.721 0.420
Cu12 0.721 0.557 0.920
Cu13 0.721 0.801 0.164
Cu14 0.801 0.137 0.080
Cu15 0.801 0.721 0.664
Cu16 0.863 0.199 0.420
Cu17 0.863 0.443 0.664
Cu18 0.875 0.125 0.750
```

Values from the calculation:
The calculated volume is 337.8 Å³/cell. For the energy above the most stable polymorph in this dataset, the calculation gives 0.000 eV per formula unit. For the total energy, the calculation gives -4.12 eV per atom. The value obtained for the energy relative to the elements is -0.16 eV/atom.